# NdPaPb | Alexandria via LeMat-Bulk | GGA-PBE | relaxed
# Volume ... 176 Å³ per cell
# N(E_F) ... 6.41 states/eV/f.u.
# Calculated formation energy ... 104.9 meV/atom
# ΔE to the lowest computed polymorph ... 16 meV/atom
data_NdPaPb
_cell_length_a 4.141
_cell_length_b 4.141
_cell_length_c 10.269
_cell_angle_alpha 90.00
_cell_angle_beta 90.00
_cell_angle_gamma 90.00
_space_group_name_H-M_alt 'I 4 m m'
_space_group_IT_number 107
_space_group_name_Hall 'I 4 -2'
loop_
_atom_site_label
_atom_site_type_symbol
_atom_site_fract_x
_atom_site_fract_y
_atom_site_fract_z
Nd1 Nd 0.000 0.000 0.000
Pa1 Pa 0.000 0.000 0.692
Pb1 Pb 0.000 0.000 0.345